This record from the Alexandria database describes Na2Sr2Sc after structural relaxation. The functional is PBE-GGA.

```
Na2Sr2Sc
1.0
8.994 0.000 0.000
0.000 8.994 0.000
0.000 0.000 4.925
Sc Sr Na
2 4 4
direct
0.000 0.000 0.000 Sc
0.500 0.500 0.000 Sc
0.182 0.682 0.500 Sr
0.682 0.818 0.500 Sr
0.818 0.318 0.500 Sr
0.318 0.182 0.500 Sr
0.375 0.875 0.000 Na
0.875 0.625 0.000 Na
0.625 0.125 0.000 Na
0.125 0.375 0.000 Na
```

Computed properties:
energy of formation: 327 meV/atom
uncorrected energy: -21.40 eV/cell